Entry 1:
# TmGaAg2 PBE optimized geometry
data_TmGaAg2
_chemical_formula_sum 'Tm1 Ga1 Ag2'
_cell_length_a 4.3258
_cell_length_b 4.3258
_cell_length_c 4.3262
_cell_angle_alpha 90.00
_cell_angle_beta 90.00
_cell_angle_gamma 90.00
_space_group_name_H-M_alt 'P 1'
_space_group_IT_number 1
_space_group_name_Hall 'P 1'
loop_
_atom_site_label
_atom_site_fract_x
_atom_site_fract_y
_atom_site_fract_z
Tm1 0.0000 0.0000 0.0000
Ga1 0.5000 0.5000 0.0000
Ag1 0.0000 0.5000 0.5000
Ag2 0.5000 0.0000 0.5000
# Density of states at the Fermi level in states/eV per cell: 2.157
# Final energy in eV per cell: -14.1
# Formation enthalpy at 0 K in eV/atom: -0.2263

***

Entry 2:
# Tm4Ga12Ag PBE optimized geometry
data_Tm4Ga12Ag
_chemical_formula_sum 'Tm4 Ga12 Ag1'
_cell_length_a 7.4803
_cell_length_b 7.4803
_cell_length_c 7.4803
_cell_angle_alpha 109.47
_cell_angle_beta 109.47
_cell_angle_gamma 109.47
_space_group_name_H-M_alt 'P 1'
_space_group_IT_number 1
_space_group_name_Hall 'P 1'
loop_
_atom_site_label
_atom_site_fract_x
_atom_site_fract_y
_atom_site_fract_z
Tm1 0.0000 0.0000 0.5000
Tm2 0.0000 0.5000 0.0000
Tm3 0.5000 0.0000 0.0000
Tm4 0.5000 0.5000 0.5000
Ga1 0.0000 0.3033 0.3033
Ga2 0.0000 0.6967 0.6967
Ga3 0.2500 0.5000 0.7500
Ga4 0.2500 0.7500 0.5000
Ga5 0.3033 0.0000 0.3033
Ga6 0.3033 0.3033 0.0000
Ga7 0.5000 0.2500 0.7500
Ga8 0.5000 0.7500 0.2500
Ga9 0.6967 0.0000 0.6967
Ga10 0.6967 0.6967 0.0000
Ga11 0.7500 0.2500 0.5000
Ga12 0.7500 0.5000 0.2500
Ag1 0.0000 0.0000 0.0000
# Density of states at the Fermi level in states/eV per cell: 7.483
# Final energy in eV per cell: -65.1
# Formation enthalpy at 0 K in eV/atom: -0.4714

***

Entry 3:
# TmGaAg2 PBE optimized geometry
data_TmGaAg2
_chemical_formula_sum 'Tm4 Ga4 Ag8'
_cell_length_a 6.7805
_cell_length_b 6.7805
_cell_length_c 6.7805
_cell_angle_alpha 90.00
_cell_angle_beta 90.00
_cell_angle_gamma 90.00
_space_group_name_H-M_alt 'P 1'
_space_group_IT_number 1
_space_group_name_Hall 'P 1'
loop_
_atom_site_label
_atom_site_fract_x
_atom_site_fract_y
_atom_site_fract_z
Tm1 0.0000 0.0000 0.0000
Tm2 0.0000 0.5000 0.5000
Tm3 0.5000 0.0000 0.5000
Tm4 0.5000 0.5000 0.0000
Ga1 0.0000 0.0000 0.5000
Ga2 0.0000 0.5000 0.0000
Ga3 0.5000 0.0000 0.0000
Ga4 0.5000 0.5000 0.5000
Ag1 0.2500 0.2500 0.2500
Ag2 0.2500 0.2500 0.7500
Ag3 0.2500 0.7500 0.2500
Ag4 0.2500 0.7500 0.7500
Ag5 0.7500 0.2500 0.2500
Ag6 0.7500 0.2500 0.7500
Ag7 0.7500 0.7500 0.2500
Ag8 0.7500 0.7500 0.7500
# Density of states at the Fermi level in states/eV per cell: 11.232
# Final energy in eV per cell: -57.6
# Formation enthalpy at 0 K in eV/atom: -0.3027

***

Entry 4:
# Tm4GaAg3 PBE optimized geometry
data_Tm4GaAg3
_chemical_formula_sum 'Tm4 Ga1 Ag3'
_cell_length_a 3.5356
_cell_length_b 3.5356
_cell_length_c 14.5738
_cell_angle_alpha 90.00
_cell_angle_beta 90.00
_cell_angle_gamma 90.00
_space_group_name_H-M_alt 'P 1'
_space_group_IT_number 1
_space_group_name_Hall 'P 1'
loop_
_atom_site_label
_atom_site_fract_x
_atom_site_fract_y
_atom_site_fract_z
Tm1 0.0000 0.0000 0.1223
Tm2 0.0000 0.0000 0.3739
Tm3 0.0000 0.0000 0.6261
Tm4 0.0000 0.0000 0.8777
Ga1 0.5000 0.5000 0.0000
Ag1 0.5000 0.5000 0.2480
Ag2 0.5000 0.5000 0.5000
Ag3 0.5000 0.5000 0.7520
# Density of states at the Fermi level in states/eV per cell: 4.042
# Final energy in eV per cell: -32.7
# Formation enthalpy at 0 K in eV/atom: -0.4001

***

Entry 5:
# Tm5GaAg PBE optimized geometry
data_Tm5GaAg
_chemical_formula_sum 'Tm10 Ga2 Ag2'
_cell_length_a 6.2441
_cell_length_b 6.2441
_cell_length_c 9.7755
_cell_angle_alpha 90.08
_cell_angle_beta 90.08
_cell_angle_gamma 88.13
_space_group_name_H-M_alt 'P 1'
_space_group_IT_number 1
_space_group_name_Hall 'P 1'
loop_
_atom_site_label
_atom_site_fract_x
_atom_site_fract_y
_atom_site_fract_z
Tm1 0.0459 0.6166 0.3237
Tm2 0.1575 0.8425 0.7500
Tm3 0.2475 0.4198 0.9997
Tm4 0.3834 0.9541 0.1763
Tm5 0.4198 0.2475 0.4997
Tm6 0.5802 0.7525 0.5003
Tm7 0.6166 0.0459 0.8237
Tm8 0.7525 0.5802 0.0003
Tm9 0.8425 0.1575 0.2500
Tm10 0.9541 0.3834 0.6763
Ga1 0.4945 0.5055 0.7500
Ga2 0.5055 0.4945 0.2500
Ag1 0.0000 0.0000 0.0000
Ag2 0.0000 0.0000 0.5000
# Density of states at the Fermi level in states/eV per cell: 17.316
# Final energy in eV per cell: -58.0
# Formation enthalpy at 0 K in eV/atom: -0.1088

***

Entry 6:
# TmGaAg2 PBE optimized geometry
data_TmGaAg2
_chemical_formula_sum 'Tm1 Ga1 Ag2'
_cell_length_a 3.6466
_cell_length_b 3.6466
_cell_length_c 6.1865
_cell_angle_alpha 90.00
_cell_angle_beta 90.00
_cell_angle_gamma 90.00
_space_group_name_H-M_alt 'P 1'
_space_group_IT_number 1
_space_group_name_Hall 'P 1'
loop_
_atom_site_label
_atom_site_fract_x
_atom_site_fract_y
_atom_site_fract_z
Tm1 0.0000 0.0000 0.0000
Ga1 0.0000 0.0000 0.5000
Ag1 0.5000 0.5000 0.2575
Ag2 0.5000 0.5000 0.7425
# Density of states at the Fermi level in states/eV per cell: 2.324
# Final energy in eV per cell: -14.0
# Formation enthalpy at 0 K in eV/atom: -0.1938

***

Entry 7:
# Tm3GaAg PBE optimized geometry
data_Tm3GaAg
_chemical_formula_sum 'Tm12 Ga4 Ag4'
_cell_length_a 9.7332
_cell_length_b 9.7332
_cell_length_c 6.1955
_cell_angle_alpha 96.03
_cell_angle_beta 96.03
_cell_angle_gamma 57.78
_space_group_name_H-M_alt 'P 1'
_space_group_IT_number 1
_space_group_name_Hall 'P 1'
loop_
_atom_site_label
_atom_site_fract_x
_atom_site_fract_y
_atom_site_fract_z
Tm1 0.0472 0.2549 0.6100
Tm2 0.1909 0.6967 0.9720
Tm3 0.2549 0.0472 0.1100
Tm4 0.2883 0.3805 0.5103
Tm5 0.3033 0.8091 0.5280
Tm6 0.3805 0.2883 0.0103
Tm7 0.6195 0.7117 0.9897
Tm8 0.6967 0.1909 0.4720
Tm9 0.7117 0.6195 0.4897
Tm10 0.7451 0.9528 0.8900
Tm11 0.8091 0.3033 0.0280
Tm12 0.9528 0.7451 0.3900
Ga1 0.0308 0.4197 0.1757
Ga2 0.4197 0.0308 0.6757
Ga3 0.5803 0.9692 0.3243
Ga4 0.9692 0.5803 0.8243
Ag1 0.0009 0.9991 0.2500
Ag2 0.4940 0.5060 0.2500
Ag3 0.5060 0.4940 0.7500
Ag4 0.9991 0.0009 0.7500
# Density of states at the Fermi level in states/eV per cell: 17.396
# Final energy in eV per cell: -82.6
# Formation enthalpy at 0 K in eV/atom: -0.2724

***

Entry 8:
# Tm3Ga3Ag2 PBE optimized geometry
data_Tm3Ga3Ag2
_chemical_formula_sum 'Tm6 Ga6 Ag4'
_cell_length_a 5.7882
_cell_length_b 5.7882
_cell_length_c 14.4347
_cell_angle_alpha 90.00
_cell_angle_beta 90.00
_cell_angle_gamma 135.26
_space_group_name_H-M_alt 'P 1'
_space_group_IT_number 1
_space_group_name_Hall 'P 1'
loop_
_atom_site_label
_atom_site_fract_x
_atom_site_fract_y
_atom_site_fract_z
Tm1 0.0840 0.9160 0.6103
Tm2 0.0840 0.9160 0.8897
Tm3 0.3534 0.6466 0.7500
Tm4 0.6466 0.3534 0.2500
Tm5 0.9160 0.0840 0.1103
Tm6 0.9160 0.0840 0.3897
Ga1 0.3612 0.6388 0.2500
Ga2 0.3950 0.6050 0.5417
Ga3 0.3950 0.6050 0.9583
Ga4 0.6050 0.3950 0.0417
Ga5 0.6050 0.3950 0.4583
Ga6 0.6388 0.3612 0.7500
Ag1 0.2100 0.7900 0.0983
Ag2 0.2100 0.7900 0.4017
Ag3 0.7900 0.2100 0.5983
Ag4 0.7900 0.2100 0.9017
# Density of states at the Fermi level in states/eV per cell: 9.082
# Final energy in eV per cell: -64.3
# Formation enthalpy at 0 K in eV/atom: -0.4965

***

Entry 9:
# Tm4GaAg2 PBE optimized geometry
data_Tm4GaAg2
_chemical_formula_sum 'Tm4 Ga1 Ag2'
_cell_length_a 8.5806
_cell_length_b 8.5806
_cell_length_c 8.5806
_cell_angle_alpha 33.96
_cell_angle_beta 33.96
_cell_angle_gamma 33.96
_space_group_name_H-M_alt 'P 1'
_space_group_IT_number 1
_space_group_name_Hall 'P 1'
loop_
_atom_site_label
_atom_site_fract_x
_atom_site_fract_y
_atom_site_fract_z
Tm1 0.1215 0.1215 0.1215
Tm2 0.3737 0.3737 0.3737
Tm3 0.6263 0.6263 0.6263
Tm4 0.8785 0.8785 0.8785
Ga1 0.5000 0.5000 0.5000
Ag1 0.2484 0.2484 0.2484
Ag2 0.7516 0.7516 0.7516
# Density of states at the Fermi level in states/eV per cell: 6.014
# Final energy in eV per cell: -28.4
# Formation enthalpy at 0 K in eV/atom: -0.2535

***

Entry 10:
# TmGaAg2 PBE optimized geometry
data_TmGaAg2
_chemical_formula_sum 'Tm2 Ga2 Ag4'
_cell_length_a 5.3038
_cell_length_b 4.8208
_cell_length_c 6.1741
_cell_angle_alpha 90.00
_cell_angle_beta 90.09
_cell_angle_gamma 90.00
_space_group_name_H-M_alt 'P 1'
_space_group_IT_number 1
_space_group_name_Hall 'P 1'
loop_
_atom_site_label
_atom_site_fract_x
_atom_site_fract_y
_atom_site_fract_z
Tm1 0.1501 0.2500 0.2496
Tm2 0.8499 0.7500 0.7504
Ga1 0.2096 0.2500 0.7495
Ga2 0.7904 0.7500 0.2505
Ag1 0.3410 0.7500 0.5029
Ag2 0.3415 0.7500 0.9970
Ag3 0.6585 0.2500 0.0030
Ag4 0.6590 0.2500 0.4971
# Density of states at the Fermi level in states/eV per cell: 2.373
# Final energy in eV per cell: -29.0
# Formation enthalpy at 0 K in eV/atom: -0.3232